# YIn2Re (PBE-GGA, relaxed)
data_YIn2Re
_chemical_formula_sum 'Y1 In2 Re1'
_symmetry_space_group_name_H-M 'P 1'
_symmetry_Int_Tables_number 1
_cell_length_a 9.8967
_cell_length_b 9.8967
_cell_length_c 9.8967
_cell_angle_alpha 19.40
_cell_angle_beta 19.40
_cell_angle_gamma 19.40
loop_
_symmetry_equiv_pos_as_xyz
'x,y,z'
loop_
_atom_site_label
_atom_site_type_symbol
_atom_site_fract_x
_atom_site_fract_y
_atom_site_fract_z
In1 In 0.9972 0.9972 0.9972
In2 In 0.2393 0.2393 0.2393
Re1 Re 0.5005 0.5005 0.5005
Y1 Y 0.7629 0.7629 0.7629
# total moment: 0.00 μB/f.u.
# volume: 93.5 Å³/f.u.
# ΔE to the lowest computed polymorph: 271 meV/atom
# DFT formation energy: 0.379 eV/atom